# 1
## HoErH4 (PBE)

Data for a relaxed HoErH4 crystal.

Results
The calculation puts the total magnetization at 0.00 μB per atom. Its crystal system is tetragonal. For the energy, the calculation gives -4.471 eV per atom.

a = 3.611 Å, b = 3.611 Å, c = 5.103 Å
α = 90.00°, β = 90.00°, γ = 90.00°
Fractional positions:
Er 0.000 0.000 0.000
H 0.500 0.000 0.250
H 0.000 0.500 0.250
H 0.500 0.000 0.750
H 0.000 0.500 0.750
Ho 0.500 0.500 0.500


# 2
## HoErH2I2 (PBE)

Data for a relaxed HoErH2I2 crystal.

Results
The calculation puts the total magnetization at 0.00 μB per atom. Its crystal system is monoclinic. For the energy, the calculation gives -4.153 eV per atom.

a = 3.907 Å, b = 3.907 Å, c = 10.680 Å
α = 100.25°, β = 100.25°, γ = 60.00°
Fractional positions:
Er 0.126 0.126 0.374
H 0.806 0.806 0.416
H 0.193 0.193 0.583
Ho 0.874 0.874 0.626
I 0.395 0.395 0.177
I 0.605 0.605 0.824


# 3
## ErTmH2I2 (PBE)

Data for a relaxed ErTmH2I2 crystal.

Results
The calculation puts the total magnetization at 0.00 μB per atom. Its crystal system is monoclinic. For the energy, the calculation gives -4.121 eV per atom.

a = 3.892 Å, b = 3.892 Å, c = 10.621 Å
α = 100.25°, β = 100.25°, γ = 59.99°
Fractional positions:
Er 0.126 0.126 0.375
H 0.806 0.806 0.417
H 0.194 0.194 0.584
I 0.395 0.395 0.175
I 0.605 0.605 0.824
Tm 0.874 0.874 0.625


# 4
## ErTmH2I4 (PBE)

Data for a relaxed ErTmH2I4 crystal.

Results
The calculation puts the total magnetization at 0.00 μB per atom. Its crystal system is hexagonal. For the energy, the calculation gives -3.898 eV per atom.

a = 3.954 Å, b = 3.954 Å, c = 16.543 Å
α = 90.00°, β = 90.00°, γ = 120.00°
Fractional positions:
Er 0.000 0.000 0.000
H 0.667 0.333 0.000
H 0.333 0.667 0.500
I 0.333 0.667 0.127
I 0.667 0.333 0.373
I 0.667 0.333 0.627
I 0.333 0.667 0.873
Tm 0.000 0.000 0.500


# 5
## NaErH6Ir (PBE)

Data for a relaxed NaErH6Ir crystal.

Results
The calculation puts the total magnetization at 0.00 μB per atom. Its crystal system is cubic. For the energy, the calculation gives -4.337 eV per atom.

a = 4.903 Å, b = 4.903 Å, c = 4.903 Å
α = 60.00°, β = 60.00°, γ = 60.00°
Fractional positions:
Er 0.250 0.250 0.250
H 0.749 0.251 0.251
H 0.251 0.749 0.251
H 0.749 0.749 0.251
H 0.251 0.251 0.749
H 0.749 0.251 0.749
H 0.251 0.749 0.749
Ir 0.500 0.500 0.500
Na 0.750 0.750 0.750


# 6
## ErLuH4 (PBE)

Data for a relaxed ErLuH4 crystal.

Results
The calculation puts the total magnetization at 0.00 μB per atom. Its crystal system is tetragonal. For the energy, the calculation gives -4.456 eV per atom.

a = 3.564 Å, b = 3.564 Å, c = 5.027 Å
α = 90.00°, β = 90.00°, γ = 90.00°
Fractional positions:
Er 0.000 0.000 0.000
H 0.500 0.000 0.255
H 0.000 0.500 0.255
H 0.500 0.000 0.745
H 0.000 0.500 0.745
Lu 0.500 0.500 0.500


# 7
## ErMg2H6 (PBE)

Data for a relaxed ErMg2H6 crystal.

Results
The calculation puts the total magnetization at 0.00 μB per atom. Its crystal system is tetragonal. For the energy, the calculation gives -3.341 eV per atom.

a = 3.500 Å, b = 3.500 Å, c = 7.887 Å
α = 90.00°, β = 90.00°, γ = 90.00°
Fractional positions:
Er 0.000 0.000 0.000
H 0.500 0.500 0.000
H 0.500 0.000 0.184
H 0.000 0.500 0.184
H 0.500 0.500 0.500
H 0.500 0.000 0.816
H 0.000 0.500 0.816
Mg 0.500 0.500 0.278
Mg 0.500 0.500 0.722


# 8
## ErNbH4 (PBE)

Data for a relaxed ErNbH4 crystal.

Results
The calculation puts the total magnetization at 0.00 μB per atom. Its crystal system is tetragonal. For the energy, the calculation gives -5.119 eV per atom.

a = 3.435 Å, b = 3.435 Å, c = 4.660 Å
α = 90.00°, β = 90.00°, γ = 90.00°
Fractional positions:
Er 0.000 0.000 0.000
H 0.500 0.000 0.282
H 0.000 0.500 0.282
H 0.500 0.000 0.718
H 0.000 0.500 0.718
Nb 0.500 0.500 0.500


# 9
## ErHO (PBE)

Data for a relaxed ErHO crystal.

Results
The calculation puts the total magnetization at 0.00 μB per atom. Its crystal system is cubic. For the energy, the calculation gives -6.614 eV per atom.

a = 3.682 Å, b = 3.682 Å, c = 3.682 Å
α = 60.00°, β = 60.00°, γ = 60.00°
Fractional positions:
Er 0.500 0.500 0.500
H 0.250 0.250 0.250
O 0.750 0.750 0.750


# 10
## PrErH2O4 (PBE)

Data for a relaxed PrErH2O4 crystal.

Results
The calculation puts the total magnetization at 0.00 μB per atom. Its crystal system is monoclinic. For the energy, the calculation gives -7.070 eV per atom.

a = 4.335 Å, b = 3.678 Å, c = 6.091 Å
α = 90.00°, β = 108.86°, γ = 90.00°
Fractional positions:
Er 0.840 0.500 0.202
H 0.500 0.000 0.388
H 0.472 0.500 0.547
O 0.280 0.500 0.076
O 0.738 0.000 0.435
O 0.252 0.500 0.556
O 0.749 0.000 0.978
Pr 0.170 0.000 0.817


# 11
## Er2H8S3O16 (PBE)

Data for a relaxed Er2H8S3O16 crystal.

Results
The calculation puts the total magnetization at 0.00 μB per atom. Its crystal system is triclinic. For the energy, the calculation gives -6.084 eV per atom.

a = 6.585 Å, b = 8.791 Å, c = 10.220 Å
α = 95.37°, β = 107.22°, γ = 98.81°
Fractional positions:
Er 0.939 0.133 0.174
Er 0.260 0.663 0.364
Er 0.740 0.337 0.636
Er 0.061 0.867 0.826
H 0.605 0.316 0.063
H 0.831 0.435 0.132
H 0.302 0.433 0.155
H 0.481 0.584 0.167
H 0.702 0.412 0.343
H 0.521 0.270 0.344
H 0.295 0.999 0.424
H 0.815 0.084 0.474
H 0.185 0.916 0.526
H 0.705 0.001 0.576
H 0.479 0.730 0.656
H 0.298 0.588 0.657
H 0.519 0.416 0.833
H 0.698 0.567 0.845
H 0.169 0.565 0.868
H 0.395 0.684 0.937
O 0.263 0.976 0.038
O 0.122 0.270 0.051
O 0.615 0.668 0.066
O 0.749 0.330 0.134
O 0.974 0.608 0.156
O 0.931 0.874 0.178
O 0.620 0.051 0.207
O 0.397 0.525 0.218
O 0.368 0.835 0.231
O 0.307 0.101 0.266
O 0.147 0.388 0.362
O 0.645 0.350 0.403
O 0.015 0.140 0.410
O 0.931 0.633 0.417
O 0.626 0.727 0.453
O 0.286 0.907 0.471
O 0.714 0.093 0.529
O 0.374 0.273 0.547
O 0.069 0.367 0.583
O 0.985 0.860 0.590
O 0.355 0.650 0.597
O 0.853 0.612 0.638
O 0.693 0.899 0.734
O 0.632 0.165 0.769
O 0.603 0.475 0.782
O 0.380 0.949 0.793
O 0.069 0.126 0.822
O 0.026 0.392 0.844
O 0.251 0.670 0.866
O 0.385 0.332 0.934
O 0.878 0.730 0.949
O 0.737 0.024 0.962
S 0.847 0.723 0.088
S 0.392 0.988 0.185
S 0.154 0.295 0.480
S 0.846 0.705 0.520
S 0.608 0.012 0.815
S 0.153 0.277 0.912


# 12
## ErSiHO4 (PBE)

Data for a relaxed ErSiHO4 crystal.

Results
The calculation puts the total magnetization at 0.00 μB per atom. For the energy above the most stable polymorph in this dataset, the calculation gives 0.438 eV per atom. Its crystal system is hexagonal. For the energy, the calculation gives -7.041 eV per atom.

a = 9.406 Å, b = 9.406 Å, c = 13.259 Å
α = 90.00°, β = 90.00°, γ = 120.00°
Fractional positions:
Er 0.736 0.264 0.167
Er 0.284 0.284 0.167
Er 0.716 0.716 0.167
Er 0.264 0.736 0.167
Er 0.284 0.000 0.500
Er 0.716 0.000 0.500
Er 0.736 0.471 0.500
Er 0.264 0.529 0.500
Er 0.529 0.264 0.833
Er 0.000 0.284 0.833
Er 0.000 0.716 0.833
Er 0.471 0.736 0.833
H 0.500 0.000 0.000
H 0.500 0.500 0.007
H 0.000 0.000 0.167
H 0.500 0.500 0.327
H 0.000 0.500 0.333
H 0.500 0.000 0.340
H 0.000 0.000 0.500
H 0.500 0.000 0.660
H 0.500 0.500 0.667
H 0.000 0.500 0.673
H 0.000 0.000 0.833
H 0.000 0.500 0.993
O 0.358 0.382 0.009
O 0.642 0.618 0.009
O 0.703 0.137 0.032
O 0.297 0.863 0.032
O 0.171 0.050 0.098
O 0.829 0.950 0.098
O 0.755 0.488 0.118
O 0.245 0.512 0.118
O 0.512 0.245 0.216
O 0.488 0.755 0.216
O 0.050 0.171 0.235
O 0.950 0.829 0.235
O 0.863 0.297 0.301
O 0.137 0.703 0.301
O 0.382 0.358 0.324
O 0.618 0.642 0.324
O 0.382 0.024 0.343
O 0.618 0.976 0.343
O 0.137 0.434 0.365
O 0.863 0.566 0.365
O 0.950 0.122 0.431
O 0.050 0.878 0.431
O 0.512 0.267 0.451
O 0.488 0.733 0.451
O 0.755 0.267 0.549
O 0.245 0.733 0.549
O 0.171 0.122 0.569
O 0.829 0.878 0.569
O 0.297 0.434 0.635
O 0.703 0.566 0.635
O 0.642 0.024 0.657
O 0.358 0.976 0.657
O 0.976 0.358 0.676
O 0.024 0.642 0.676
O 0.434 0.297 0.699
O 0.566 0.703 0.699
O 0.122 0.171 0.765
O 0.878 0.829 0.765
O 0.733 0.245 0.784
O 0.267 0.755 0.784
O 0.733 0.488 0.882
O 0.267 0.512 0.882
O 0.878 0.050 0.902
O 0.122 0.950 0.902
O 0.434 0.137 0.968
O 0.566 0.863 0.968
O 0.024 0.382 0.991
O 0.976 0.618 0.991
Si 0.244 0.000 0.000
Si 0.756 0.000 0.000
Si 0.228 0.456 0.000
Si 0.772 0.544 0.000
Si 0.456 0.228 0.333
Si 0.000 0.244 0.333
Si 0.000 0.756 0.333
Si 0.544 0.772 0.333
Si 0.772 0.228 0.667
Si 0.244 0.244 0.667
Si 0.756 0.756 0.667
Si 0.228 0.772 0.667


Please write out number 1 again, unchanged.
## HoErH4 (PBE)

Data for a relaxed HoErH4 crystal.

Results
The calculation puts the total magnetization at 0.00 μB per atom. Its crystal system is tetragonal. For the energy, the calculation gives -4.471 eV per atom.

a = 3.611 Å, b = 3.611 Å, c = 5.103 Å
α = 90.00°, β = 90.00°, γ = 90.00°
Fractional positions:
Er 0.000 0.000 0.000
H 0.500 0.000 0.250
H 0.000 0.500 0.250
H 0.500 0.000 0.750
H 0.000 0.500 0.750
Ho 0.500 0.500 0.500